(1)
TbMgCuTe3, optimized geometry, DFT GGA-PBE; space-group type = Cmcm (63); offset from the most stable computed form = 18 meV per atom
1.0
-2.5830 6.3581 -2.3487
-4.5612 3.4363 -4.4723
-8.0309 -0.3309 7.9363
Cu Mg Tb Te
2 2 2 6
Direct
0.4762 0.4762 0.2500
0.5238 0.5238 0.7500
0.7717 0.7717 0.2500
0.2283 0.2283 0.7500
0.0000 0.0000 0.0000
0.0000 0.0000 0.5000
0.3497 0.3497 0.0766
0.1004 0.1004 0.2500
0.3497 0.3497 0.4234
0.6503 0.6503 0.5766
0.8996 0.8996 0.7500
0.6503 0.6503 0.9234


(2)
NaLuPbS3, optimized geometry, DFT GGA-PBE; space-group type = P2_1/m (11); offset from the most stable computed form = 0 meV per atom
1.0
6.9434 0.0000 0.0000
0.0000 3.9419 0.0000
-2.1830 0.0000 10.4387
Lu Na Pb S
2 2 2 6
Direct
0.7657 0.2500 0.0448
0.2343 0.7500 0.9552
0.8731 0.7500 0.3627
0.1269 0.2500 0.6373
0.3674 0.2500 0.3312
0.6326 0.7500 0.6688
0.0275 0.7500 0.1387
0.5556 0.7500 0.1422
0.2649 0.7500 0.4982
0.7351 0.2500 0.5018
0.4444 0.2500 0.8578
0.9725 0.2500 0.8613


(3)
TlAgAs2, optimized geometry, DFT GGA-PBE; space-group type = F-43m (216); uncorrected energy = -3.2609 eV/atom
1.0
0.0000 3.5114 3.5114
3.5114 0.0000 3.5114
3.5114 3.5114 0.0000
Ag As Tl
1 2 1
Direct
0.5000 0.5000 0.5000
0.0000 0.0000 0.0000
0.2500 0.2500 0.2500
0.7500 0.7500 0.7500


(4)
Cu5Ag4, optimized geometry, DFT GGA-PBE; formation energy from the elements = 0.09 eV per atom; space-group type = Immm (71); offset from the most stable computed form = 49 meV per atom
1.0
-1.3868 1.8676 12.6132
1.3868 -1.8676 12.6132
1.3868 1.8676 -12.6132
Ag Cu
4 5
Direct
0.1049 0.1049 0.0000
0.3304 0.3304 0.0000
0.6696 0.6696 0.0000
0.8951 0.8951 0.0000
0.0000 0.0000 0.0000
0.2256 0.2256 0.0000
0.4514 0.4514 0.0000
0.5486 0.5486 0.0000
0.7744 0.7744 0.0000


(5)
LiAgIrSe2S, optimized geometry, DFT GGA-PBE; space-group type = Cmcm (63); uncorrected energy = -4.3572 eV/atom
1.0
-6.9861 0.7057 0.5082
5.7090 -4.1169 -0.1417
0.7711 0.7398 9.5716
Ag Ir Li S Se
2 2 2 2 4
Direct
0.8275 0.1725 0.2500
0.1725 0.8275 0.7500
0.5000 0.5000 0.0000
0.5000 0.5000 0.5000
0.1640 0.8360 0.2500
0.8360 0.1640 0.7500
0.5400 0.4600 0.2500
0.4600 0.5400 0.7500
0.8721 0.1279 0.0033
0.8721 0.1279 0.4967
0.1279 0.8721 0.5033
0.1279 0.8721 0.9967


(6)
BaTlTc, optimized geometry, DFT GGA-PBE; space-group type = F-43m (216); offset from the most stable computed form = 0 meV per atom
1.0
0.0000 3.5794 3.5794
3.5794 0.0000 3.5794
3.5794 3.5794 0.0000
Ba Tc Tl
1 1 1
Direct
0.2500 0.2500 0.2500
0.0000 0.0000 0.0000
0.7500 0.7500 0.7500


(7)
NaCdIr, optimized geometry, DFT GGA-PBE; space-group type = F-43m (216); offset from the most stable computed form = 359 meV per atom
1.0
3.4518 -0.0604 2.8064
-0.4826 1.5216 4.1529
0.0317 -2.8376 3.4266
Cd Ir Na
1 1 1
Direct
0.2500 0.2500 0.2500
0.7500 0.7500 0.7500
0.0000 0.0000 0.0000


(8)
Dy2Y3S7, optimized geometry, DFT GGA-PBE; space-group type = C2/m (12); uncorrected energy = -6.8684 eV/atom
1.0
6.4247 -1.9032 0.0000
6.4247 1.9032 0.0000
-2.9297 0.0000 11.2281
Dy S Y
2 7 3
Direct
0.6996 0.6996 0.3121
0.3004 0.3004 0.6879
0.5000 0.5000 0.0000
0.2591 0.2591 0.1479
0.0416 0.0416 0.2850
0.3404 0.3404 0.4486
0.6596 0.6596 0.5514
0.9584 0.9584 0.7150
0.7409 0.7409 0.8521
0.8879 0.8879 0.0786
0.0000 0.0000 0.5000
0.1121 0.1121 0.9214


(9)
TlAg2Au, optimized geometry, DFT GGA-PBE; space-group type = F-43m (216); uncorrected energy = -2.7501 eV/atom
1.0
0.0095 -4.1933 2.3569
-0.7576 -0.0913 4.7494
-4.1106 -1.7870 1.7459
Ag Au Tl
2 1 1
Direct
0.0000 0.0000 0.0000
0.7500 0.7500 0.7500
0.2500 0.2500 0.2500
0.5000 0.5000 0.5000


(10)
Pr4In8Ni7, optimized geometry, DFT GGA-PBE; space-group type = Cmmm (65); uncorrected energy = -4.6011 eV/atom
1.0
7.3697 -12.1001 0.0000
7.3697 12.1001 0.0000
0.0000 0.0000 4.3792
In Ni Pr
16 14 8
Direct
0.9135 0.0865 0.0000
0.7222 0.2778 0.0000
0.5000 0.5000 0.0000
0.2778 0.7222 0.0000
0.0865 0.9135 0.0000
0.0000 0.0000 0.5000
0.5576 0.1250 0.5000
0.3686 0.1810 0.5000
0.8106 0.1894 0.5000
0.1810 0.3686 0.5000
0.8750 0.4424 0.5000
0.1250 0.5576 0.5000
0.8190 0.6314 0.5000
0.1894 0.8106 0.5000
0.6314 0.8190 0.5000
0.4424 0.8750 0.5000
0.5156 0.2083 0.0000
0.4099 0.3013 0.0000
0.3013 0.4099 0.0000
0.7917 0.4844 0.0000
0.2083 0.5156 0.0000
0.6987 0.5901 0.0000
0.5901 0.6987 0.0000
0.4844 0.7917 0.0000
0.1913 0.0013 0.5000
0.0013 0.1913 0.5000
0.3776 0.3776 0.5000
0.6224 0.6224 0.5000
0.9987 0.8087 0.5000
0.8087 0.9987 0.5000
0.6520 0.0049 0.0000
0.1838 0.1838 0.0000
0.9951 0.3480 0.0000
0.0049 0.6520 0.0000
0.8162 0.8162 0.0000
0.3480 0.9951 0.0000
0.6057 0.3943 0.5000
0.3943 0.6057 0.5000


(11)
Sr4Pt4PbO11, optimized geometry, DFT GGA-PBE; space-group type = P-1 (2); uncorrected energy = -6.0320 eV/atom
1.0
5.7000 0.0000 0.0000
-0.0024 9.9740 0.0000
-0.0181 -0.0667 10.0725
O Pb Pt Sr
22 2 8 8
Direct
0.9978 0.6669 0.0413
0.5007 0.6657 0.0424
0.4947 0.9410 0.1485
0.0088 0.9419 0.1507
0.3217 0.2528 0.2633
0.0040 0.5646 0.3105
0.4999 0.5660 0.3113
0.7557 0.0576 0.3664
0.5116 0.8308 0.4172
0.9871 0.8286 0.4181
0.7512 0.3688 0.4610
0.2488 0.6312 0.5390
0.0129 0.1714 0.5819
0.4884 0.1692 0.5828
0.2443 0.9424 0.6336
0.5001 0.4340 0.6887
0.9960 0.4354 0.6895
0.6783 0.7472 0.7367
0.9912 0.0581 0.8493
0.5053 0.0590 0.8515
0.4993 0.3343 0.9576
0.0022 0.3331 0.9587
0.7180 0.2569 0.2664
0.2820 0.7431 0.7336
0.2503 0.7982 0.1051
0.7509 0.6262 0.1830
0.7506 0.8772 0.2770
0.2508 0.7063 0.3548
0.7492 0.2937 0.6452
0.2494 0.1228 0.7230
0.2491 0.3738 0.8170
0.7497 0.2018 0.8949
0.2494 0.1254 0.0475
0.2504 0.4661 0.1267
0.2489 0.0353 0.3934
0.2490 0.3843 0.4814
0.7510 0.6157 0.5186
0.7511 0.9647 0.6066
0.7496 0.5339 0.8733
0.7506 0.8746 0.9525


(12)
Nd4Mg24Ni3, optimized geometry, DFT GGA-PBE; space-group type = Cmc2_1 (36); uncorrected energy = -2.3619 eV/atom
1.0
7.5958 -10.3966 0.0000
7.5958 10.3966 0.0000
0.0000 0.0000 9.5100
Mg Nd Ni
48 8 6
Direct
0.3848 0.3710 0.0037
0.6290 0.6152 0.0037
0.0291 0.1634 0.0365
0.8366 0.9709 0.0365
0.1043 0.6134 0.0501
0.3866 0.8957 0.0501
0.7992 0.2008 0.0606
0.4766 0.1256 0.2011
0.8744 0.5234 0.2011
0.6646 0.0127 0.2430
0.9873 0.3354 0.2430
0.4814 0.5186 0.2522
0.0141 0.9859 0.2588
0.2722 0.7278 0.2663
0.2408 0.4852 0.2678
0.5148 0.7592 0.2678
0.0402 0.7567 0.2695
0.2433 0.9598 0.2695
0.0780 0.5696 0.4235
0.4304 0.9220 0.4235
0.0186 0.1855 0.4767
0.8145 0.9814 0.4767
0.3954 0.1570 0.4848
0.8430 0.6046 0.4848
0.3710 0.3848 0.5037
0.6152 0.6290 0.5037
0.1634 0.0291 0.5365
0.9709 0.8366 0.5365
0.6134 0.1043 0.5501
0.8957 0.3866 0.5501
0.2008 0.7992 0.5606
0.1256 0.4766 0.7011
0.5234 0.8744 0.7011
0.0127 0.6646 0.7430
0.3354 0.9873 0.7430
0.5186 0.4814 0.7522
0.9859 0.0141 0.7588
0.7278 0.2722 0.7663
0.4852 0.2408 0.7678
0.7592 0.5148 0.7678
0.7567 0.0402 0.7695
0.9598 0.2433 0.7695
0.5696 0.0780 0.9235
0.9220 0.4304 0.9235
0.1855 0.0186 0.9767
0.9814 0.8145 0.9767
0.1570 0.3954 0.9848
0.6046 0.8430 0.9848
0.6327 0.3673 0.0639
0.2360 0.2193 0.2494
0.7807 0.7640 0.2494
0.6302 0.3698 0.4456
0.3673 0.6327 0.5639
0.2193 0.2360 0.7494
0.7640 0.7807 0.7494
0.3698 0.6302 0.9456
0.8904 0.1096 0.2509
0.4525 0.3109 0.2688
0.6891 0.5475 0.2688
0.1096 0.8904 0.7509
0.3109 0.4525 0.7688
0.5475 0.6891 0.7688


(13)
HfSe2, optimized geometry, DFT GGA-PBE; space-group type = Fd-3m (227); uncorrected energy = -6.5379 eV/atom
1.0
4.0479 2.3370 6.6101
-4.0479 2.3370 6.6101
0.0000 -4.6741 6.6101
Hf Se
2 4
Direct
0.2500 0.2500 0.2500
0.5000 0.5000 0.5000
0.3750 0.3750 0.3750
0.8750 0.3750 0.3750
0.3750 0.8750 0.3750
0.3750 0.3750 0.8750


(14)
BeNbTlNi, optimized geometry, DFT GGA-PBE; space-group type = F-43m (216); offset from the most stable computed form = 0 meV per atom
1.0
-2.5886 0.6563 3.4681
-4.2538 -1.0074 -0.2222
-1.5597 -3.4185 2.2449
Be Nb Ni Tl
1 1 1 1
Direct
0.2500 0.2500 0.2500
0.5000 0.5000 0.5000
0.7500 0.7500 0.7500
0.0000 0.0000 0.0000


(15)
NdPu2Pt9, optimized geometry, DFT GGA-PBE; formation energy from the elements = -0.46 eV per atom; space-group type = R-3m (166)
1.0
2.7140 1.5669 8.9061
-2.7140 1.5669 8.9061
0.0000 -3.1338 8.9061
Nd Pt Pu
1 9 2
Direct
0.0000 0.0000 0.0000
0.5868 0.5868 0.0816
0.3328 0.3328 0.3328
0.9184 0.4132 0.4132
0.4132 0.9184 0.4132
0.5000 0.5000 0.5000
0.5868 0.0816 0.5868
0.0816 0.5868 0.5868
0.6672 0.6672 0.6672
0.4132 0.4132 0.9184
0.1426 0.1426 0.1426
0.8574 0.8574 0.8574


(16)
SrZnSeO, optimized geometry, DFT GGA-PBE; space-group type = Pbca (61); uncorrected energy = -4.6128 eV/atom
1.0
-4.5198 6.3644 1.9198
3.0225 -1.8518 13.2549
4.8912 3.6559 -0.6046
O Se Sr Zn
8 8 8 8
Direct
0.6257 0.3063 0.1636
0.8743 0.8063 0.1636
0.1257 0.3063 0.3364
0.3743 0.8063 0.3364
0.6257 0.1937 0.6636
0.8743 0.6937 0.6636
0.1257 0.1937 0.8364
0.3743 0.6937 0.8364
0.8706 0.0824 0.2437
0.6294 0.5824 0.2437
0.3706 0.0824 0.2563
0.1294 0.5824 0.2563
0.8706 0.4176 0.7437
0.6294 0.9176 0.7437
0.3706 0.4176 0.7563
0.1294 0.9176 0.7563
0.8771 0.3985 0.2427
0.6229 0.8985 0.2427
0.3771 0.3985 0.2572
0.1229 0.8985 0.2572
0.8771 0.1015 0.7428
0.6229 0.6015 0.7428
0.3771 0.1015 0.7573
0.1229 0.6015 0.7573
0.1219 0.1869 0.1634
0.3781 0.6869 0.1634
0.6219 0.1869 0.3366
0.8781 0.6869 0.3366
0.1219 0.3131 0.6634
0.3781 0.8131 0.6634
0.6219 0.3131 0.8366
0.8781 0.8131 0.8366


(17)
NaFeSnBi, optimized geometry, DFT GGA-PBE; space-group type = F-43m (216); offset from the most stable computed form = 0 meV per atom
1.0
0.0000 3.5574 3.5574
3.5574 0.0000 3.5574
3.5574 3.5574 0.0000
Bi Fe Na Sn
1 1 1 1
Direct
0.5000 0.5000 0.5000
0.2500 0.2500 0.2500
0.7500 0.7500 0.7500
0.0000 0.0000 0.0000